1.
Density functional theory data (PBE) for a geometry-optimized ScTlP2 structure.

Output
crystal system	monoclinic
N(E_F)	6.1	states/eV/cell
formation energy from the elements	-0.3505	eV/atom
relative energy among the computed polymorphs	0.1779	eV per atom

Structure (CIF):
```
data_ScTlP2
_space_group_name_H-M_alt 'C 1 2/m 1'
_space_group_IT_number 12
_cell_length_a 9.095
_cell_length_b 3.315
_cell_length_c 6.000
_cell_angle_alpha 90.00
_cell_angle_beta 100.98
_cell_angle_gamma 90.00
loop_
_space_group_symop_operation_xyz
'x,y,z'
'-x,-y,-z'
'-x,y,-z'
'x,-y,z'
'x+1/2,y+1/2,z'
'-x+1/2,-y+1/2,-z'
'-x+1/2,y+1/2,-z'
'x+1/2,-y+1/2,z'
loop_
_atom_site_label
_atom_site_type_symbol
_atom_site_fract_x
_atom_site_fract_y
_atom_site_fract_z
Sc1 Sc 0.000 0.000 0.000
Tl1 Tl 0.000 0.500 0.500
P1 P 0.232 0.500 0.129
```

***

2.
Density functional theory data (PBE) for a geometry-optimized Sc2TlP structure.

Output
crystal system	monoclinic
N(E_F)	3.1	states/eV/cell
formation energy from the elements	-0.5897	eV/atom
relative energy among the computed polymorphs	0.3121	eV per atom

Structure (CIF):
```
data_Sc2TlP
_space_group_name_H-M_alt 'P 1 m 1'
_space_group_IT_number 6
_cell_length_a 4.069
_cell_length_b 3.906
_cell_length_c 5.655
_cell_angle_alpha 90.00
_cell_angle_beta 110.95
_cell_angle_gamma 90.00
loop_
_space_group_symop_operation_xyz
'x,y,z'
'x,-y,z'
loop_
_atom_site_label
_atom_site_type_symbol
_atom_site_fract_x
_atom_site_fract_y
_atom_site_fract_z
Sc1 Sc 0.000 0.000 0.000
Sc2 Sc 0.278 0.500 0.551
Tl1 Tl 0.548 0.500 0.097
P1 P 0.754 0.000 0.498
```

***

3.
Density functional theory data (PBE) for a geometry-optimized ScTlP structure.

Output
crystal system	triclinic
N(E_F)	1.4	states/eV/cell
formation energy from the elements	-0.6010	eV/atom
relative energy among the computed polymorphs	0.2111	eV per atom

Structure (CIF):
```
data_ScTlP
_space_group_name_H-M_alt 'P 1'
_space_group_IT_number 1
_cell_length_a 3.636
_cell_length_b 3.636
_cell_length_c 6.287
_cell_angle_alpha 106.80
_cell_angle_beta 106.53
_cell_angle_gamma 90.01
loop_
_space_group_symop_operation_xyz
'x,y,z'
loop_
_atom_site_label
_atom_site_type_symbol
_atom_site_fract_x
_atom_site_fract_y
_atom_site_fract_z
Sc1 Sc 0.000 0.000 0.000
Tl1 Tl 0.268 0.267 0.528
P1 P 0.505 0.505 0.010
```

***

4.
Density functional theory data (PBE) for a geometry-optimized Sc3TlP structure.

Output
crystal system	triclinic
N(E_F)	9.2	states/eV/cell
formation energy from the elements	-0.7054	eV/atom
relative energy among the computed polymorphs	0.0302	eV per atom

Structure (CIF):
```
data_Sc3TlP
_space_group_name_H-M_alt 'P 1'
_space_group_IT_number 1
_cell_length_a 3.602
_cell_length_b 7.870
_cell_length_c 7.880
_cell_angle_alpha 98.64
_cell_angle_beta 90.01
_cell_angle_gamma 102.87
loop_
_space_group_symop_operation_xyz
'x,y,z'
loop_
_atom_site_label
_atom_site_type_symbol
_atom_site_fract_x
_atom_site_fract_y
_atom_site_fract_z
Sc1 Sc 0.000 0.000 0.000
Sc2 Sc 0.098 0.205 0.653
Sc3 Sc 0.215 0.452 0.384
Sc4 Sc 0.315 0.649 0.841
Sc5 Sc 0.660 0.327 0.967
Sc6 Sc 0.896 0.797 0.558
Tl1 Tl 0.542 0.083 0.315
Tl2 Tl 0.787 0.681 0.179
P1 P 0.491 0.985 0.763
P2 P 0.726 0.468 0.646
```

***

5.
Density functional theory data (PBE) for a geometry-optimized ScTlP structure.

Output
crystal system	trigonal
N(E_F)	0.8	states/eV/cell
formation energy from the elements	-0.4352	eV/atom
relative energy among the computed polymorphs	0.3769	eV per atom

Structure (CIF):
```
data_ScTlP
_space_group_name_H-M_alt 'P 3 m 1'
_space_group_IT_number 156
_cell_length_a 4.0714
_cell_length_b 4.0714
_cell_length_c 5.2285
_cell_angle_alpha 90.00
_cell_angle_beta 90.00
_cell_angle_gamma 120.00
loop_
_space_group_symop_operation_xyz
'x,y,z'
'-y,x-y,z'
'-x+y,-x,z'
'-y,-x,z'
'-x+y,y,z'
'x,x-y,z'
loop_
_atom_site_label
_atom_site_type_symbol
_atom_site_fract_x
_atom_site_fract_y
_atom_site_fract_z
Sc1 Sc 0.0000 0.0000 0.0000
Tl1 Tl 0.6667 0.3333 0.4492
P1 P 0.3333 0.6667 0.8327
```

***

6.
Density functional theory data (PBE) for a geometry-optimized Sc3TlP structure.

Output
crystal system	monoclinic
N(E_F)	18.7	states/eV/cell
formation energy from the elements	-0.7105	eV/atom
relative energy among the computed polymorphs	0.0251	eV per atom

Structure (CIF):
```
data_Sc3TlP
_space_group_name_H-M_alt 'C 1 2/m 1'
_space_group_IT_number 12
_cell_length_a 15.794
_cell_length_b 3.726
_cell_length_c 8.826
_cell_angle_alpha 90.00
_cell_angle_beta 120.30
_cell_angle_gamma 90.00
loop_
_space_group_symop_operation_xyz
'x,y,z'
'-x,-y,-z'
'-x,y,-z'
'x,-y,z'
'x+1/2,y+1/2,z'
'-x+1/2,-y+1/2,-z'
'-x+1/2,y+1/2,-z'
'x+1/2,-y+1/2,z'
loop_
_atom_site_label
_atom_site_type_symbol
_atom_site_fract_x
_atom_site_fract_y
_atom_site_fract_z
Sc1 Sc 0.000 0.000 0.000
Sc2 Sc 0.000 0.000 0.500
Sc3 Sc 0.147 0.500 0.441
Sc4 Sc 0.250 0.000 0.826
Tl1 Tl 0.082 0.500 0.807
P1 P 0.178 0.000 0.274
```

***

7.
Density functional theory data (PBE) for a geometry-optimized Sc2Tl2P structure.

Output
crystal system	tetragonal
N(E_F)	8.9	states/eV/cell
formation energy from the elements	-0.4899	eV/atom
relative energy among the computed polymorphs	0.1707	eV per atom

Structure (CIF):
```
data_Sc2Tl2P
_space_group_name_H-M_alt 'P 4/m b m'
_space_group_IT_number 127
_space_group_name_Hall '-P 4 2ab'
_cell_length_a 6.919
_cell_length_b 6.919
_cell_length_c 4.922
_cell_angle_alpha 90.00
_cell_angle_beta 90.00
_cell_angle_gamma 90.00
loop_
_atom_site_label
_atom_site_type_symbol
_atom_site_fract_x
_atom_site_fract_y
_atom_site_fract_z
Sc1 Sc 0.169 0.331 0.000
Tl1 Tl 0.154 0.654 0.500
P1 P 0.000 0.000 0.000
```

***

8.
Density functional theory data (PBE) for a geometry-optimized Sc2TlP structure.

Output
crystal system	tetragonal
N(E_F)	4.3	states/eV/cell
formation energy from the elements	-0.6289	eV/atom
relative energy among the computed polymorphs	0.2728	eV per atom

Structure (CIF):
```
data_Sc2TlP
_space_group_name_H-M_alt 'P 4/m m m'
_space_group_IT_number 123
_space_group_name_Hall '-P 4 2'
_cell_length_a 3.275
_cell_length_b 3.275
_cell_length_c 7.742
_cell_angle_alpha 90.00
_cell_angle_beta 90.00
_cell_angle_gamma 90.00
loop_
_atom_site_label
_atom_site_type_symbol
_atom_site_fract_x
_atom_site_fract_y
_atom_site_fract_z
Sc1 Sc 0.000 0.000 0.195
Tl1 Tl 0.500 0.500 0.500
P1 P 0.500 0.500 0.000
```

***

Please write out number 2 again, unchanged.
Density functional theory data (PBE) for a geometry-optimized Sc2TlP structure.

Output
crystal system	monoclinic
N(E_F)	3.1	states/eV/cell
formation energy from the elements	-0.5897	eV/atom
relative energy among the computed polymorphs	0.3121	eV per atom

Structure (CIF):
```
data_Sc2TlP
_space_group_name_H-M_alt 'P 1 m 1'
_space_group_IT_number 6
_cell_length_a 4.069
_cell_length_b 3.906
_cell_length_c 5.655
_cell_angle_alpha 90.00
_cell_angle_beta 110.95
_cell_angle_gamma 90.00
loop_
_space_group_symop_operation_xyz
'x,y,z'
'x,-y,z'
loop_
_atom_site_label
_atom_site_type_symbol
_atom_site_fract_x
_atom_site_fract_y
_atom_site_fract_z
Sc1 Sc 0.000 0.000 0.000
Sc2 Sc 0.278 0.500 0.551
Tl1 Tl 0.548 0.500 0.097
P1 P 0.754 0.000 0.498
```